Record 1
The following is a PBE-GGA calculation of a relaxed ScVTc2Bi crystal, from the Alexandria database.

The space group is P4/mmm (No. 123) and the conventional cell measures 4.521, 4.521 and 4.997 Å, with angles of 90.00, 90.00 and 90.00 degrees. The asymmetric unit holds Sc at (0.000, 0.000, 0.000), V at (0.000, 0.000, 0.500), Tc at (0.000, 0.500, 0.500) and Bi at (0.500, 0.500, 0.000).

The calculation puts the magnetic moment at 0.27 μB/f.u. Its energy is -7.33 eV per atom. The density of states at the Fermi level comes out at 4.8 states/eV/cell. Its formation energy from the elements is 0.68 eV/atom.

Record 2
The following is a PBE-GGA calculation of a relaxed ScVTcBi2 crystal, from the Alexandria database.

The space group is P4/mmm (No. 123) and the conventional cell measures 5.480, 5.480 and 4.524 Å, with angles of 90.00, 90.00 and 90.00 degrees. The asymmetric unit holds Sc at (0.000, 0.000, 0.000), V at (0.500, 0.500, 0.500), Tc at (0.000, 0.000, 0.500) and Bi at (0.000, 0.500, 0.000).

The calculation puts the magnetic moment at 0.75 μB/f.u. Its energy is -5.30 eV per atom. The density of states at the Fermi level comes out at 5.7 states/eV/cell. Its formation energy from the elements is 1.41 eV/atom.

Record 3
The following is a PBE-GGA calculation of a relaxed ZrScTc2Bi crystal, from the Alexandria database.

The space group is P4/mmm (No. 123) and the conventional cell measures 4.635, 4.635 and 5.182 Å, with angles of 90.00, 90.00 and 90.00 degrees. The asymmetric unit holds Zr at (0.000, 0.000, 0.000), Sc at (0.000, 0.000, 0.500), Tc at (0.000, 0.500, 0.500) and Bi at (0.500, 0.500, 0.000).

The calculation puts the magnetic moment at 0.01 μB/f.u. Its energy is -6.66 eV per atom. The density of states at the Fermi level comes out at 4.9 states/eV/cell. Its formation energy from the elements is 1.23 eV/atom.

Record 4
The following is a PBE-GGA calculation of a relaxed Sc3BiTe crystal, from the Alexandria database.

The space group is C2/m (No. 12) and the conventional cell measures 15.842, 4.166 and 9.870 Å, with angles of 90.00, 108.83 and 90.00 degrees. The asymmetric unit holds Sc at (0.014, 0.000, 0.160), Sc at (0.138, 0.500, 0.045), Sc at (0.190, 0.000, 0.567), Bi at (0.108, 0.500, 0.361) and Te at (0.167, 0.000, 0.839).

The calculation puts the magnetic moment at 0.00 μB/f.u. As for the energy relative to the elements, uncorrected: -500 meV per atom. Its energy is -5.70 eV per atom. For the energy above the most stable polymorph in this dataset, the calculation gives 0.00 eV/f.u. The density of states at the Fermi level comes out at 23.9 states/eV/cell.

Record 5
The following is a PBE-GGA calculation of a relaxed ScBi2Te2 crystal, from the Alexandria database.

The space group is P4/mbm (No. 127) and the conventional cell measures 7.744, 7.744 and 5.116 Å, with angles of 90.00, 90.00 and 90.00 degrees. The asymmetric unit holds Sc at (0.000, 0.000, 0.000), Bi at (0.153, 0.347, 0.500) and Te at (0.168, 0.668, 0.000).

The calculation puts the magnetic moment at 0.00 μB/f.u. As for the energy relative to the elements, uncorrected: -249 meV per atom. Its energy is -4.32 eV per atom. The density of states at the Fermi level comes out at 7.7 states/eV/cell.

Record 6
The following is a PBE-GGA calculation of a relaxed Sc4BiTe3 crystal, from the Alexandria database.

The space group is Cmmm (No. 65) and the conventional cell measures 8.399, 11.853 and 4.181 Å, with angles of 90.00, 90.00 and 90.00 degrees. The asymmetric unit holds Sc at (0.000, 0.248, 0.000), Sc at (0.248, 0.000, 0.500), Bi at (0.000, 0.500, 0.000), Te at (0.000, 0.000, 0.000) and Te at (0.250, 0.250, 0.500).

The calculation puts the magnetic moment at 0.00 μB/f.u. As for the energy relative to the elements, uncorrected: -998 meV per atom. Its energy is -5.83 eV per atom. The density of states at the Fermi level comes out at 10.8 states/eV/cell.

Record 7
The following is a PBE-GGA calculation of a relaxed Sc2BiTe2 crystal, from the Alexandria database.

The space group is Pnma (No. 62) and the conventional cell measures 8.194, 5.733 and 12.424 Å, with angles of 90.00, 90.00 and 90.00 degrees. The asymmetric unit holds Sc at (0.119, 0.250, 0.095), Sc at (0.176, 0.250, 0.766), Bi at (0.065, 0.750, 0.451), Te at (0.104, 0.750, 0.088) and Te at (0.193, 0.750, 0.789).

The calculation puts the magnetic moment at 0.00 μB/f.u. As for the energy relative to the elements, uncorrected: -870 meV per atom. Its energy is -5.44 eV per atom. For the energy above the most stable polymorph in this dataset, the calculation gives 0.00 eV/f.u. The density of states at the Fermi level comes out at 8.0 states/eV/cell.

Record 8
The following is a PBE-GGA calculation of a relaxed Sc3BiTe crystal, from the Alexandria database.

The space group is Pm-3m (No. 221) and the conventional cell measures 5.320, 5.320 and 5.320 Å, with angles of 90.00, 90.00 and 90.00 degrees. The asymmetric unit holds Sc at (0.000, 0.000, 0.500), Bi at (0.500, 0.500, 0.500) and Te at (0.000, 0.000, 0.000).

The calculation puts the magnetic moment at 0.00 μB/f.u. As for the energy relative to the elements, uncorrected: -95 meV per atom. Its energy is -5.30 eV per atom. For the energy above the most stable polymorph in this dataset, the calculation gives 2.03 eV/f.u. The density of states at the Fermi level comes out at 9.1 states/eV/cell.

Record 9
The following is a PBE-GGA calculation of a relaxed Sc4BiTe crystal, from the Alexandria database.

The space group is C2/c (No. 15) and the conventional cell measures 7.753, 14.401 and 6.490 Å, with angles of 90.00, 118.54 and 90.00 degrees. The asymmetric unit holds Sc at (0.079, 0.221, 0.044), Sc at (0.221, 0.425, 0.265), Bi at (0.000, 0.393, 0.750) and Te at (0.000, 0.058, 0.250).

The calculation puts the magnetic moment at 0.00 μB/f.u. As for the energy relative to the elements, uncorrected: -468 meV per atom. Its energy is -5.86 eV per atom. The density of states at the Fermi level comes out at 25.2 states/eV/cell.

Record 10
The following is a PBE-GGA calculation of a relaxed Sc8Bi2Te crystal, from the Alexandria database.

The space group is C2/m (No. 12) and the conventional cell measures 17.417, 4.892 and 6.332 Å, with angles of 90.00, 92.86 and 90.00 degrees. The asymmetric unit holds Sc at (0.037, 0.000, 0.238), Sc at (0.092, 0.500, 0.944), Sc at (0.162, 0.500, 0.401), Sc at (0.217, 0.000, 0.146), Bi at (0.165, 0.000, 0.680) and Te at (0.000, 0.500, 0.500).

The calculation puts the magnetic moment at 0.00 μB/f.u. As for the energy relative to the elements, uncorrected: -418 meV per atom. Its energy is -6.01 eV per atom. The density of states at the Fermi level comes out at 26.4 states/eV/cell.

Record 11
The following is a PBE-GGA calculation of a relaxed Sc3BiTe3 crystal, from the Alexandria database.

The space group is R-3 (No. 148, hexagonal axes) and the conventional cell measures 8.8708, 8.8708 and 17.5847 Å, with angles of 90.00, 90.00 and 120.00 degrees. The asymmetric unit holds Sc at (0.0037, 0.6200, 0.4218), Bi at (0.0000, 0.0000, 0.1653) and Te at (0.0087, 0.7361, 0.5915).

The calculation puts the magnetic moment at 0.00 μB/f.u. As for the energy relative to the elements, uncorrected: -913 meV per atom. Its energy is -5.53 eV per atom. The density of states at the Fermi level comes out at 7.7 states/eV/cell.

Record 12
The following is a PBE-GGA calculation of a relaxed ScBi2Te crystal, from the Alexandria database.

The space group is I-42d (No. 122) and the conventional cell measures 4.417, 4.417 and 25.088 Å, with angles of 90.00, 90.00 and 90.00 degrees. The asymmetric unit holds Sc at (0.000, 0.000, 0.000), Bi at (0.232, 0.250, 0.125) and Te at (0.000, 0.000, 0.500).

The calculation puts the magnetic moment at 0.00 μB/f.u. As for the energy relative to the elements, uncorrected: -263 meV per atom. Its energy is -4.57 eV per atom. The density of states at the Fermi level comes out at 11.6 states/eV/cell.